Arrangement a

# SiAgTe2N | Alexandria via LeMat-Bulk | PBE | relaxed
# M_tot   0.0 μB per formula unit
data_SiAgTe2N
_symmetry_space_group_name_H-M 'P 4/m m m'
_symmetry_Int_Tables_number 123
_symmetry_space_group_name_Hall '-P 4 2'
_cell_length_a 5.726
_cell_length_b 5.726
_cell_length_c 3.248
_cell_angle_alpha 90.00
_cell_angle_beta 90.00
_cell_angle_gamma 90.00
loop_
_atom_site_label
_atom_site_type_symbol
_atom_site_fract_x
_atom_site_fract_y
_atom_site_fract_z
Si1 Si 0.000 0.000 0.000
Ag1 Ag 0.500 0.500 0.500
Te1 Te 0.000 0.500 0.000
N1 N 0.000 0.000 0.500


Arrangement b

# SiAgTe2N | Alexandria via LeMat-Bulk | PBE | relaxed
# M_tot   1.5 μB per formula unit
data_SiAgTe2N
_symmetry_space_group_name_H-M 'P 4/m m m'
_symmetry_Int_Tables_number 123
_symmetry_space_group_name_Hall '-P 4 2'
_cell_length_a 5.563
_cell_length_b 5.563
_cell_length_c 3.945
_cell_angle_alpha 90.00
_cell_angle_beta 90.00
_cell_angle_gamma 90.00
loop_
_atom_site_label
_atom_site_type_symbol
_atom_site_fract_x
_atom_site_fract_y
_atom_site_fract_z
Si1 Si 0.000 0.000 0.000
Ag1 Ag 0.500 0.500 0.500
Te1 Te 0.000 0.500 0.500
N1 N 0.500 0.500 0.000


Which of them is the most stable? Correct choice: arrangement a.


Arrangement a

# AgSnN | Alexandria via LeMat-Bulk | PBE | relaxed
# M_tot   0.0 μB per formula unit
data_AgSnN
_symmetry_space_group_name_H-M 'P -1'
_symmetry_Int_Tables_number 2
_symmetry_space_group_name_Hall '-P 1'
_cell_length_a 3.395
_cell_length_b 4.307
_cell_length_c 8.079
_cell_angle_alpha 93.70
_cell_angle_beta 102.09
_cell_angle_gamma 90.10
loop_
_atom_site_label
_atom_site_type_symbol
_atom_site_fract_x
_atom_site_fract_y
_atom_site_fract_z
Ag1 Ag 0.191 0.297 0.384
Sn1 Sn 0.435 0.235 0.870
N1 N 0.144 0.787 0.290


Arrangement b

# AgSnN | Alexandria via LeMat-Bulk | PBE | relaxed
# M_tot   0.0 μB per formula unit
data_AgSnN
_symmetry_space_group_name_H-M 'P 63 m c'
_symmetry_Int_Tables_number 186
_symmetry_space_group_name_Hall 'P 6c -2c'
_cell_length_a 3.3067
_cell_length_b 3.3067
_cell_length_c 10.7546
_cell_angle_alpha 90.00
_cell_angle_beta 90.00
_cell_angle_gamma 120.00
loop_
_atom_site_label
_atom_site_type_symbol
_atom_site_fract_x
_atom_site_fract_y
_atom_site_fract_z
Ag1 Ag 0.3333 0.6667 0.0000
Sn1 Sn 0.0000 0.0000 0.2149
N1 N 0.3333 0.6667 0.3100


Which of them is the most stable? Correct choice: arrangement b.


Arrangement a

# SrAgN2 | Alexandria via LeMat-Bulk | PBE | relaxed
# M_tot   0.0 μB per formula unit
data_SrAgN2
_symmetry_space_group_name_H-M 'R -3 m'
_symmetry_Int_Tables_number 166
_symmetry_space_group_name_Hall '-R 3 2"'
_cell_length_a 3.6398
_cell_length_b 3.6398
_cell_length_c 19.0769
_cell_angle_alpha 90.00
_cell_angle_beta 90.00
_cell_angle_gamma 120.00
loop_
_atom_site_label
_atom_site_type_symbol
_atom_site_fract_x
_atom_site_fract_y
_atom_site_fract_z
Sr1 Sr 0.0000 0.0000 0.0000
Ag1 Ag 0.0000 0.0000 0.5000
N1 N 0.0000 0.0000 0.1255


Arrangement b

# SrAgN2 | Alexandria via LeMat-Bulk | PBE | relaxed
# M_tot   3.0 μB per formula unit
data_SrAgN2
_symmetry_space_group_name_H-M 'F m -3 m'
_symmetry_Int_Tables_number 225
_symmetry_space_group_name_Hall '-F 4 2 3'
_cell_length_a 6.232
_cell_length_b 6.232
_cell_length_c 6.232
_cell_angle_alpha 90.00
_cell_angle_beta 90.00
_cell_angle_gamma 90.00
loop_
_atom_site_label
_atom_site_type_symbol
_atom_site_fract_x
_atom_site_fract_y
_atom_site_fract_z
Sr1 Sr 0.000 0.000 0.000
Ag1 Ag 0.000 0.000 0.500
N1 N 0.250 0.250 0.250


Which of them is the most stable? Correct choice: arrangement b.


Arrangement a

# Sr8Ag2N | Alexandria via LeMat-Bulk | PBE | relaxed
# M_tot   0.0 μB per formula unit
data_Sr8Ag2N
_symmetry_space_group_name_H-M 'C 1 2/m 1'
_symmetry_Int_Tables_number 12
_symmetry_space_group_name_Hall '-C 2y'
_cell_length_a 14.414
_cell_length_b 7.530
_cell_length_c 8.254
_cell_angle_alpha 90.00
_cell_angle_beta 90.70
_cell_angle_gamma 90.00
loop_
_atom_site_label
_atom_site_type_symbol
_atom_site_fract_x
_atom_site_fract_y
_atom_site_fract_z
Sr1 Sr 0.038 0.235 0.217
Sr2 Sr 0.188 0.000 0.904
Sr3 Sr 0.195 0.500 0.600
Ag1 Ag 0.100 0.000 0.539
N1 N 0.000 0.000 0.000


Arrangement b

# Sr8Ag2N | Alexandria via LeMat-Bulk | PBE | relaxed
# M_tot   0.0 μB per formula unit
data_Sr8Ag2N
_symmetry_space_group_name_H-M 'C 1 2/m 1'
_symmetry_Int_Tables_number 12
_symmetry_space_group_name_Hall '-C 2y'
_cell_length_a 18.001
_cell_length_b 6.660
_cell_length_c 7.335
_cell_angle_alpha 90.00
_cell_angle_beta 97.93
_cell_angle_gamma 90.00
loop_
_atom_site_label
_atom_site_type_symbol
_atom_site_fract_x
_atom_site_fract_y
_atom_site_fract_z
Sr1 Sr 0.046 0.000 0.261
Sr2 Sr 0.073 0.500 0.821
Sr3 Sr 0.128 0.500 0.405
Sr4 Sr 0.201 0.000 0.835
Ag1 Ag 0.230 0.000 0.281
N1 N 0.000 0.500 0.500


Which of them is the most stable? Correct choice: arrangement a.


Arrangement a

# Sr4AgN2 | Alexandria via LeMat-Bulk | PBE | relaxed
# M_tot   0.0 μB per formula unit
data_Sr4AgN2
_symmetry_space_group_name_H-M 'I 4/m m m'
_symmetry_Int_Tables_number 139
_symmetry_space_group_name_Hall '-I 4 2'
_cell_length_a 5.974
_cell_length_b 5.974
_cell_length_c 12.729
_cell_angle_alpha 90.00
_cell_angle_beta 90.00
_cell_angle_gamma 90.00
loop_
_atom_site_label
_atom_site_type_symbol
_atom_site_fract_x
_atom_site_fract_y
_atom_site_fract_z
Sr1 Sr 0.000 0.000 0.238
Sr2 Sr 0.000 0.500 0.000
Ag1 Ag 0.000 0.000 0.500
N1 N 0.000 0.000 0.050


Arrangement b

# Sr4AgN2 | Alexandria via LeMat-Bulk | PBE | relaxed
# M_tot   0.0 μB per formula unit
data_Sr4AgN2
_symmetry_space_group_name_H-M 'C m c m'
_symmetry_Int_Tables_number 63
_symmetry_space_group_name_Hall '-C 2c 2'
_cell_length_a 3.977
_cell_length_b 13.198
_cell_length_c 13.812
_cell_angle_alpha 90.00
_cell_angle_beta 90.00
_cell_angle_gamma 90.00
loop_
_atom_site_label
_atom_site_type_symbol
_atom_site_fract_x
_atom_site_fract_y
_atom_site_fract_z
Sr1 Sr 0.000 0.000 0.000
Sr2 Sr 0.000 0.259 0.097
Sr3 Sr 0.000 0.421 0.750
Ag1 Ag 0.000 0.116 0.750
N1 N 0.000 0.362 0.566


Which of them is the most stable? Correct choice: arrangement b.


Arrangement a

# SrAgTe2N | Alexandria via LeMat-Bulk | PBE | relaxed
# M_tot   3.5 μB per formula unit
data_SrAgTe2N
_symmetry_space_group_name_H-M 'P 4/m m m'
_symmetry_Int_Tables_number 123
_symmetry_space_group_name_Hall '-P 4 2'
_cell_length_a 6.275
_cell_length_b 6.275
_cell_length_c 4.833
_cell_angle_alpha 90.00
_cell_angle_beta 90.00
_cell_angle_gamma 90.00
loop_
_atom_site_label
_atom_site_type_symbol
_atom_site_fract_x
_atom_site_fract_y
_atom_site_fract_z
Sr1 Sr 0.000 0.000 0.000
Ag1 Ag 0.500 0.500 0.500
Te1 Te 0.000 0.500 0.000
N1 N 0.000 0.000 0.500


Arrangement b

# SrAgTe2N | Alexandria via LeMat-Bulk | PBE | relaxed
# M_tot   1.8 μB per formula unit
data_SrAgTe2N
_symmetry_space_group_name_H-M 'P 4/m m m'
_symmetry_Int_Tables_number 123
_symmetry_space_group_name_Hall '-P 4 2'
_cell_length_a 5.761
_cell_length_b 5.761
_cell_length_c 4.128
_cell_angle_alpha 90.00
_cell_angle_beta 90.00
_cell_angle_gamma 90.00
loop_
_atom_site_label
_atom_site_type_symbol
_atom_site_fract_x
_atom_site_fract_y
_atom_site_fract_z
Sr1 Sr 0.000 0.000 0.000
Ag1 Ag 0.500 0.500 0.500
Te1 Te 0.000 0.500 0.500
N1 N 0.500 0.500 0.000


Which of them is the most stable? Correct choice: arrangement b.